CuTcBiPt | GGA-PBE | relaxed

As for the magnetic moment: 0.0 μB/cell. The value obtained for the electronic total energy is -91.4 eV for the cell shown. Its density is 13.780 g/cm³. The value obtained for the distance to the lowest polymorph of the same formula is 0.0 meV per atom. For the calculated volume, the calculation gives 272.6 Å³ per cell.

It has space group F-43m (No. 216), with a = 6.484 Å, b = 6.484 Å, c = 6.484 Å, α = 90.00°, β = 90.00° and γ = 90.00°. The asymmetric unit holds Cu at (0.000, 0.000, 0.000), Tc at (0.000, 0.000, 0.500), Bi at (0.250, 0.250, 0.750) and Pt at (0.250, 0.250, 0.250).

---

ZrBPd | GGA-PBE | relaxed

As for the magnetic moment: 2.8 μB/cell. The value obtained for the electronic total energy is -79.1 eV for the cell shown. Its density is 6.815 g/cm³. For the calculated volume, the calculation gives 203.2 Å³ per cell.

It has space group F-43m (No. 216), with a = 5.879 Å, b = 5.879 Å, c = 5.879 Å, α = 90.00°, β = 90.00° and γ = 90.00°. The asymmetric unit holds Zr at (0.000, 0.000, 0.000), B at (0.000, 0.000, 0.500) and Pd at (0.250, 0.250, 0.750).

---

TmScW | GGA-PBE | relaxed

As for the magnetic moment: 0.0 μB/cell. The value obtained for the electronic total energy is -84.9 eV for the cell shown. Its density is 9.026 g/cm³. The calculation puts the formation energy at 0.8446 eV/atom. The value obtained for the distance to the lowest polymorph of the same formula is 0.0 meV per atom. For the calculated volume, the calculation gives 292.7 Å³ per cell.

It has space group F-43m (No. 216), with a = 6.640 Å, b = 6.640 Å, c = 6.640 Å, α = 90.00°, β = 90.00° and γ = 90.00°. The asymmetric unit holds Tm at (0.000, 0.000, 0.000), Sc at (0.000, 0.000, 0.500) and W at (0.250, 0.250, 0.750).

---

Tm2Re3Os | GGA-PBE | relaxed

As for the magnetic moment: 0.0 μB/cell. The value obtained for the electronic total energy is -118.7 eV for the cell shown. Its density is 16.600 g/cm³. The calculation puts the formation energy at -0.3157 eV/atom. For the calculated volume, the calculation gives 217.4 Å³ per cell.

It has space group P6_3/mmc (No. 194), with a = 5.2969 Å, b = 5.2969 Å, c = 8.9479 Å, α = 90.00°, β = 90.00° and γ = 120.00°. The asymmetric unit holds Tm at (0.3333, 0.6667, 0.0622), Re at (0.1713, 0.3425, 0.7500) and Os at (0.0000, 0.0000, 0.0000).

---

ZnPbN2 | GGA-PBE | relaxed

The value obtained for the electronic total energy is -78.9 eV for the cell shown. Its density is 8.441 g/cm³. For the calculated volume, the calculation gives 236.5 Å³ per cell.

It has space group Pna2_1 (No. 33), with a = 6.039 Å, b = 6.921 Å, c = 5.659 Å, α = 90.00°, β = 90.00° and γ = 90.00°. The asymmetric unit holds Zn at (0.081, 0.126, 0.000), Pb at (0.092, 0.624, 0.001), N at (0.069, 0.113, 0.362) and N at (0.093, 0.636, 0.392).

---

Ag2TeO | GGA-PBE | relaxed

The value obtained for the electronic total energy is -55.7 eV for the cell shown. Its density is 7.592 g/cm³. The value obtained for the distance to the lowest polymorph of the same formula is 0.0 meV per atom. For the calculated volume, the calculation gives 314.4 Å³ per cell.

It has space group Cmc2_1 (No. 36), with a = 3.571 Å, b = 13.135 Å, c = 6.701 Å, α = 90.00°, β = 90.00° and γ = 90.00°. The asymmetric unit holds Ag at (0.000, 0.001, 0.000), Ag at (0.000, 0.298, 0.756), Te at (0.000, 0.359, 0.249) and O at (0.000, 0.099, 0.251).

---

Cu2B2Se3S | GGA-PBE | relaxed

The value obtained for the electronic total energy is -73.5 eV for the cell shown. Its density is 5.265 g/cm³. For the calculated volume, the calculation gives 263.4 Å³ per cell.

It has space group C2 (No. 5), with a = 10.787 Å, b = 5.304 Å, c = 5.207 Å, α = 90.00°, β = 117.83° and γ = 90.00°. The asymmetric unit holds Cu at (0.117, 0.000, 0.355), B at (0.121, 0.476, 0.882), Se at (0.000, 0.682, 0.500), Se at (0.250, 0.233, 0.795) and S at (0.000, 0.290, 0.000).

---

Cu7Ag3 | GGA-PBE | relaxed

The value obtained for the electronic total energy is -67.4 eV for the cell shown. Its density is 9.297 g/cm³. The calculation puts the formation energy at 0.0771 eV/atom. The value obtained for the distance to the lowest polymorph of the same formula is 32.3 meV per atom. For the calculated volume, the calculation gives 274.5 Å³ per cell.

It has space group Cm (No. 8), with a = 8.897 Å, b = 2.742 Å, c = 11.427 Å, α = 90.00°, β = 99.99° and γ = 90.00°. The asymmetric unit holds Cu at (0.000, 0.000, 0.000), Cu at (0.003, 0.500, 0.484), Cu at (0.103, 0.500, 0.179), Cu at (0.202, 0.500, 0.917), Cu at (0.306, 0.000, 0.097), Cu at (0.395, 0.000, 0.820), Cu at (0.412, 0.500, 0.279), Ag at (0.099, 0.000, 0.715), Ag at (0.206, 0.000, 0.378) and Ag at (0.305, 0.500, 0.597).